<one>
Material: Ti2BSe
Method: DFT, GGA-PBE
State: relaxed Values from VASP.

Geometry as Quantum ESPRESSO input:
```
&SYSTEM
  ibrav = 0, nat = 16, ntyp = 3
/
ATOMIC_SPECIES
Ti 47.87 Ti.upf
B 10.81 B.upf
Se 78.96 Se.upf
CELL_PARAMETERS angstrom
6.0591 0.0000 0.0000
0.0000 6.0591 0.0000
0.0000 0.0000 6.0591
ATOMIC_POSITIONS angstrom
Ti 1.5148 1.5148 1.5148
Ti 1.5148 1.5148 4.5444
Ti 1.5148 4.5444 1.5148
Ti 1.5148 4.5444 4.5444
Ti 4.5444 1.5148 1.5148
Ti 4.5444 1.5148 4.5444
Ti 4.5444 4.5444 1.5148
Ti 4.5444 4.5444 4.5444
B 0.0000 0.0000 0.0000
B 0.0000 3.0296 3.0296
B 3.0296 0.0000 3.0296
B 3.0296 3.0296 0.0000
Se 0.0000 0.0000 3.0296
Se 0.0000 3.0296 0.0000
Se 3.0296 0.0000 0.0000
Se 3.0296 3.0296 3.0296
```

D(E_F) (states/eV/f.u.): 5.0
Calculated volume (Å³ per atom): 13.90

<two>
Material: Ti2BSe
Method: DFT, GGA-PBE
State: relaxed Values from VASP.

Geometry as Quantum ESPRESSO input:
```
&SYSTEM
  ibrav = 0, nat = 16, ntyp = 3
/
ATOMIC_SPECIES
Ti 47.87 Ti.upf
B 10.81 B.upf
Se 78.96 Se.upf
CELL_PARAMETERS angstrom
5.3641 0.0000 0.0000
0.0000 5.3641 0.0000
0.0000 0.0000 10.4530
ATOMIC_POSITIONS angstrom
Ti 0.9775 1.3410 1.3066
Ti 1.3410 3.6596 3.9199
Ti 1.3410 4.3865 9.1463
Ti 1.7045 1.3410 6.5331
Ti 3.6596 4.0231 6.5331
Ti 4.0231 0.9775 9.1463
Ti 4.0231 1.7045 3.9199
Ti 4.3865 4.0231 1.3066
B 0.0000 0.0000 0.0000
B 0.0000 2.6820 2.6132
B 2.6820 0.0000 7.8397
B 2.6820 2.6820 5.2265
Se 0.0000 0.0000 5.2265
Se 0.0000 2.6820 7.8397
Se 2.6820 0.0000 2.6132
Se 2.6820 2.6820 0.0000
```

D(E_F) (states/eV/f.u.): 2.7
Calculated volume (Å³ per atom): 18.80

<three>
Material: Ti2BSe
Method: DFT, GGA-PBE
State: relaxed Values from VASP.

Geometry as Quantum ESPRESSO input:
```
&SYSTEM
  ibrav = 0, nat = 12, ntyp = 3
/
ATOMIC_SPECIES
Ti 47.87 Ti.upf
B 10.81 B.upf
Se 78.96 Se.upf
CELL_PARAMETERS angstrom
3.3602 0.0000 0.0000
-1.6801 2.9100 0.0000
0.0000 0.0000 17.8652
ATOMIC_POSITIONS angstrom
Ti 0.0000 0.0000 4.1424
Ti 0.0000 0.0000 13.7228
Ti 0.0000 1.9400 7.7677
Ti 0.0000 1.9400 16.0525
Ti 1.6801 0.9700 1.8127
Ti 1.6801 0.9700 10.0974
B 0.0000 0.0000 8.9326
B 0.0000 1.9400 2.9775
B 1.6801 0.9700 14.8877
Se 0.0000 0.0000 0.0000
Se 0.0000 1.9400 11.9101
Se 1.6801 0.9700 5.9551
```

D(E_F) (states/eV/f.u.): 2.4
Calculated volume (Å³ per atom): 14.56

Stability order, top to bottom: <three>, <two>, <one>

<one>
Material: Ti3BSe
Method: DFT, GGA-PBE
State: relaxed Values from VASP.

Geometry as Quantum ESPRESSO input:
```
&SYSTEM
  ibrav = 0, nat = 5, ntyp = 3
/
ATOMIC_SPECIES
Ti 47.87 Ti.upf
B 10.81 B.upf
Se 78.96 Se.upf
CELL_PARAMETERS angstrom
4.2727 0.0000 0.0000
0.0000 4.2727 0.0000
0.0000 0.0000 4.2727
ATOMIC_POSITIONS angstrom
Ti 0.0000 0.0000 2.1364
Ti 0.0000 2.1364 0.0000
Ti 2.1364 0.0000 0.0000
B 0.0000 0.0000 0.0000
Se 2.1364 2.1364 2.1364
```

D(E_F) (states/eV/f.u.): 5.0
Calculated volume (Å³ per atom): 15.60

<two>
Material: Ti3BSe
Method: DFT, GGA-PBE
State: relaxed Values from VASP.

Geometry as Quantum ESPRESSO input:
```
&SYSTEM
  ibrav = 0, nat = 10, ntyp = 3
/
ATOMIC_SPECIES
Ti 47.87 Ti.upf
B 10.81 B.upf
Se 78.96 Se.upf
CELL_PARAMETERS angstrom
9.0999 -1.5881 0.0000
9.0999 1.5881 0.0000
-0.6539 0.0000 4.9160
ATOMIC_POSITIONS angstrom
Ti 18.0408 0.0000 1.1475
Ti -0.4950 0.0000 3.7684
Ti 3.2305 0.0000 2.9697
Ti 5.9448 0.0000 4.5878
Ti 11.6010 0.0000 0.3282
Ti 14.3153 0.0000 1.9463
B 4.2881 0.0000 0.3922
B 13.2577 0.0000 4.5238
Se 7.1806 0.0000 2.2571
Se 10.3652 0.0000 2.6589
```

D(E_F) (states/eV/f.u.): 3.9
Calculated volume (Å³ per atom): 14.21

Stability order, top to bottom: <two>, <one>

<one>
Material: Tl2BSe3
Method: DFT, GGA-PBE
State: relaxed Values from VASP.

Geometry as Quantum ESPRESSO input:
```
&SYSTEM
  ibrav = 0, nat = 12, ntyp = 3
/
ATOMIC_SPECIES
Tl 204.38 Tl.upf
B 10.81 B.upf
Se 78.96 Se.upf
CELL_PARAMETERS angstrom
5.5401 -3.5207 0.0000
5.5401 3.5207 0.0000
-2.7625 0.0000 8.9693
ATOMIC_POSITIONS angstrom
Tl 1.6090 2.0721 8.0560
Tl 5.3274 2.0721 5.3978
Tl 2.9902 -2.0721 3.5714
Tl 6.7086 -2.0721 0.9132
B 4.8494 0.6794 2.2423
B 3.4682 -0.6794 6.7269
Se 4.8494 2.6414 2.2423
Se 2.3598 0.3578 5.4778
Se 3.7410 -0.3578 0.9931
Se 4.5766 0.3578 7.9761
Se 5.9578 -0.3578 3.4915
Se 3.4682 -2.6414 6.7269
```

D(E_F) (states/eV/f.u.): 2.6
Calculated volume (Å³ per atom): 29.16

<two>
Material: Tl2BSe3
Method: DFT, GGA-PBE
State: relaxed Values from VASP.

Geometry as Quantum ESPRESSO input:
```
&SYSTEM
  ibrav = 0, nat = 12, ntyp = 3
/
ATOMIC_SPECIES
Tl 204.38 Tl.upf
B 10.81 B.upf
Se 78.96 Se.upf
CELL_PARAMETERS angstrom
6.2896 -3.2814 0.0000
6.2896 3.2814 0.0000
-5.6382 0.0000 7.7644
ATOMIC_POSITIONS angstrom
Tl -1.0705 0.0000 3.1127
Tl 2.7449 0.0000 1.3323
Tl 4.1962 0.0000 6.4321
Tl 8.0116 0.0000 4.6517
B 0.3586 0.0000 6.4369
B 6.5825 0.0000 1.3275
Se -1.7323 0.0000 6.1283
Se 6.2896 1.5745 0.0000
Se 1.4903 0.0000 4.7519
Se 5.4508 0.0000 3.0125
Se 6.2896 -1.5745 0.0000
Se 8.6734 0.0000 1.6361
```

D(E_F) (states/eV/f.u.): 3.1
Calculated volume (Å³ per atom): 26.71

Stability order, top to bottom: <one>, <two>

<one>
Material: TlB2Se
Method: DFT, GGA-PBE
State: relaxed Values from VASP.

Geometry as Quantum ESPRESSO input:
```
&SYSTEM
  ibrav = 0, nat = 16, ntyp = 3
/
ATOMIC_SPECIES
Tl 204.38 Tl.upf
B 10.81 B.upf
Se 78.96 Se.upf
CELL_PARAMETERS angstrom
5.2330 0.0000 0.0000
0.0000 5.2330 0.0000
0.0000 0.0000 9.9421
ATOMIC_POSITIONS angstrom
Tl 0.0000 0.0000 0.0000
Tl 0.0000 2.6165 2.4855
Tl 2.6165 0.0000 7.4566
Tl 2.6165 2.6165 4.9711
B 1.1010 1.3082 6.2138
B 1.3082 3.7175 8.6994
B 1.3082 4.1319 3.7283
B 1.5154 1.3082 1.2428
B 3.7175 3.9247 1.2428
B 3.9247 1.1010 3.7283
B 3.9247 1.5154 8.6994
B 4.1319 3.9247 6.2138
Se 0.0000 0.0000 4.9711
Se 0.0000 2.6165 7.4566
Se 2.6165 0.0000 2.4855
Se 2.6165 2.6165 0.0000
```

D(E_F) (states/eV/f.u.): 1.5
Calculated volume (Å³ per atom): 17.02

<two>
Material: TlB2Se
Method: DFT, GGA-PBE
State: relaxed Values from VASP.

Geometry as Quantum ESPRESSO input:
```
&SYSTEM
  ibrav = 0, nat = 16, ntyp = 3
/
ATOMIC_SPECIES
Tl 204.38 Tl.upf
B 10.81 B.upf
Se 78.96 Se.upf
CELL_PARAMETERS angstrom
6.4446 0.0000 0.0000
0.0000 6.4446 0.0000
0.0000 0.0000 6.4446
ATOMIC_POSITIONS angstrom
Tl 0.0000 0.0000 0.0000
Tl 0.0000 3.2223 3.2223
Tl 3.2223 0.0000 3.2223
Tl 3.2223 3.2223 0.0000
B 1.6111 1.6111 1.6111
B 1.6111 1.6111 4.8334
B 1.6111 4.8334 1.6111
B 1.6111 4.8334 4.8334
B 4.8334 1.6111 1.6111
B 4.8334 1.6111 4.8334
B 4.8334 4.8334 1.6111
B 4.8334 4.8334 4.8334
Se 0.0000 0.0000 3.2223
Se 0.0000 3.2223 0.0000
Se 3.2223 0.0000 0.0000
Se 3.2223 3.2223 3.2223
```

D(E_F) (states/eV/f.u.): 2.8
Calculated volume (Å³ per atom): 16.73

Stability order, top to bottom: <one>, <two>

<one>
Material: Tl2BSe
Method: DFT, GGA-PBE
State: relaxed Values from VASP.

Geometry as Quantum ESPRESSO input:
```
&SYSTEM
  ibrav = 0, nat = 16, ntyp = 3
/
ATOMIC_SPECIES
Tl 204.38 Tl.upf
B 10.81 B.upf
Se 78.96 Se.upf
CELL_PARAMETERS angstrom
7.3189 0.0000 0.0000
0.0000 7.3189 0.0000
0.0000 0.0000 7.3189
ATOMIC_POSITIONS angstrom
Tl 1.8297 1.8297 1.8297
Tl 1.8297 1.8297 5.4892
Tl 1.8297 5.4892 1.8297
Tl 1.8297 5.4892 5.4892
Tl 5.4892 1.8297 1.8297
Tl 5.4892 1.8297 5.4892
Tl 5.4892 5.4892 1.8297
Tl 5.4892 5.4892 5.4892
B 0.0000 0.0000 0.0000
B 0.0000 3.6595 3.6595
B 3.6595 0.0000 3.6595
B 3.6595 3.6595 0.0000
Se 0.0000 0.0000 3.6595
Se 0.0000 3.6595 0.0000
Se 3.6595 0.0000 0.0000
Se 3.6595 3.6595 3.6595
```

D(E_F) (states/eV/f.u.): 2.9
Calculated volume (Å³ per atom): 24.50

<two>
Material: Tl2BSe
Method: DFT, GGA-PBE
State: relaxed Values from VASP.

Geometry as Quantum ESPRESSO input:
```
&SYSTEM
  ibrav = 0, nat = 16, ntyp = 3
/
ATOMIC_SPECIES
Tl 204.38 Tl.upf
B 10.81 B.upf
Se 78.96 Se.upf
CELL_PARAMETERS angstrom
6.0430 0.0000 0.0000
0.0000 6.0430 0.0000
0.0000 0.0000 11.4745
ATOMIC_POSITIONS angstrom
Tl 1.0480 1.5107 1.4343
Tl 1.5107 4.0695 4.3029
Tl 1.5107 4.9950 10.0402
Tl 1.9735 1.5107 7.1715
Tl 4.0695 4.5322 7.1715
Tl 4.5322 1.0480 10.0402
Tl 4.5322 1.9735 4.3029
Tl 4.9950 4.5322 1.4343
B 0.0000 0.0000 0.0000
B 0.0000 3.0215 2.8686
B 3.0215 0.0000 8.6058
B 3.0215 3.0215 5.7372
Se 0.0000 0.0000 5.7372
Se 0.0000 3.0215 8.6058
Se 3.0215 0.0000 2.8686
Se 3.0215 3.0215 0.0000
```

D(E_F) (states/eV/f.u.): 3.8
Calculated volume (Å³ per atom): 26.19

Stability order, top to bottom: <two>, <one>

<one>
Material: VBSe3
Method: DFT, GGA-PBE
State: relaxed Values from VASP.

Geometry as Quantum ESPRESSO input:
```
&SYSTEM
  ibrav = 0, nat = 10, ntyp = 3
/
ATOMIC_SPECIES
V 50.94 V.upf
B 10.81 B.upf
Se 78.96 Se.upf
CELL_PARAMETERS angstrom
2.9980 1.7309 6.4294
-2.9980 1.7309 6.4294
0.0000 -3.4618 6.4294
ATOMIC_POSITIONS angstrom
V 0.0000 0.0000 3.2136
V 0.0000 0.0000 16.0747
B 0.0000 0.0000 8.7934
B 0.0000 0.0000 10.4948
Se -0.9715 -1.6848 8.1105
Se -1.9448 -0.0010 11.1777
Se -0.9733 1.6838 8.1105
Se 0.9733 -1.6838 11.1777
Se 1.9448 0.0010 8.1105
Se 0.9715 1.6848 11.1777
```

D(E_F) (states/eV/f.u.): 3.4
Calculated volume (Å³ per atom): 20.02

<two>
Material: VBSe3
Method: DFT, GGA-PBE
State: relaxed Values from VASP.

Geometry as Quantum ESPRESSO input:
```
&SYSTEM
  ibrav = 0, nat = 5, ntyp = 3
/
ATOMIC_SPECIES
V 50.94 V.upf
B 10.81 B.upf
Se 78.96 Se.upf
CELL_PARAMETERS angstrom
4.8145 0.0000 0.0000
0.0000 4.8145 0.0000
0.0000 0.0000 4.8145
ATOMIC_POSITIONS angstrom
V 0.0000 0.0000 0.0000
B 2.4073 2.4073 2.4073
Se 0.0000 0.0000 2.4073
Se 0.0000 2.4073 0.0000
Se 2.4073 0.0000 0.0000
```

D(E_F) (states/eV/f.u.): 5.2
Calculated volume (Å³ per atom): 22.32

Stability order, top to bottom: <one>, <two>

<one>
Material: V2BSe
Method: DFT, GGA-PBE
State: relaxed Values from VASP.

Geometry as Quantum ESPRESSO input:
```
&SYSTEM
  ibrav = 0, nat = 16, ntyp = 3
/
ATOMIC_SPECIES
V 50.94 V.upf
B 10.81 B.upf
Se 78.96 Se.upf
CELL_PARAMETERS angstrom
5.0464 0.0000 0.0000
0.0000 5.0464 0.0000
0.0000 0.0000 10.3469
ATOMIC_POSITIONS angstrom
V 0.8911 1.2616 1.2934
V 1.2616 3.4143 3.8801
V 1.2616 4.1552 9.0535
V 1.6320 1.2616 6.4668
V 3.4143 3.7848 6.4668
V 3.7848 0.8911 9.0535
V 3.7848 1.6320 3.8801
V 4.1552 3.7848 1.2934
B 0.0000 0.0000 0.0000
B 0.0000 2.5232 2.5867
B 2.5232 0.0000 7.7602
B 2.5232 2.5232 5.1734
Se 0.0000 0.0000 5.1734
Se 0.0000 2.5232 7.7602
Se 2.5232 0.0000 2.5867
Se 2.5232 2.5232 0.0000
```

D(E_F) (states/eV/f.u.): 3.9
Calculated volume (Å³ per atom): 16.47

<two>
Material: V2BSe
Method: DFT, GGA-PBE
State: relaxed Values from VASP.

Geometry as Quantum ESPRESSO input:
```
&SYSTEM
  ibrav = 0, nat = 16, ntyp = 3
/
ATOMIC_SPECIES
V 50.94 V.upf
B 10.81 B.upf
Se 78.96 Se.upf
CELL_PARAMETERS angstrom
5.7880 0.0000 0.0000
0.0000 5.7880 0.0000
0.0000 0.0000 5.7880
ATOMIC_POSITIONS angstrom
V 1.4470 1.4470 1.4470
V 1.4470 1.4470 4.3410
V 1.4470 4.3410 1.4470
V 1.4470 4.3410 4.3410
V 4.3410 1.4470 1.4470
V 4.3410 1.4470 4.3410
V 4.3410 4.3410 1.4470
V 4.3410 4.3410 4.3410
B 0.0000 0.0000 0.0000
B 0.0000 2.8940 2.8940
B 2.8940 0.0000 2.8940
B 2.8940 2.8940 0.0000
Se 0.0000 0.0000 2.8940
Se 0.0000 2.8940 0.0000
Se 2.8940 0.0000 0.0000
Se 2.8940 2.8940 2.8940
```

D(E_F) (states/eV/f.u.): 3.7
Calculated volume (Å³ per atom): 12.12

Stability order, top to bottom: <two>, <one>

<one>
Material: B3WSe
Method: DFT, GGA-PBE
State: relaxed Values from VASP.

Geometry as Quantum ESPRESSO input:
```
&SYSTEM
  ibrav = 0, nat = 5, ntyp = 3
/
ATOMIC_SPECIES
B 10.81 B.upf
W 183.84 W.upf
Se 78.96 Se.upf
CELL_PARAMETERS angstrom
4.2738 0.0000 0.0000
0.0000 4.2738 0.0000
0.0000 0.0000 4.2738
ATOMIC_POSITIONS angstrom
B 0.0000 0.0000 2.1369
B 0.0000 2.1369 0.0000
B 2.1369 0.0000 0.0000
W 0.0000 0.0000 0.0000
Se 2.1369 2.1369 2.1369
```

D(E_F) (states/eV/f.u.): 4.6
Calculated volume (Å³ per atom): 15.61

<two>
Material: B3WSe
Method: DFT, GGA-PBE
State: relaxed Values from VASP.

Geometry as Quantum ESPRESSO input:
```
&SYSTEM
  ibrav = 0, nat = 5, ntyp = 3
/
ATOMIC_SPECIES
B 10.81 B.upf
W 183.84 W.upf
Se 78.96 Se.upf
CELL_PARAMETERS angstrom
3.9726 0.0000 0.0000
0.0000 3.9726 0.0000
0.0000 0.0000 3.9726
ATOMIC_POSITIONS angstrom
B 0.0000 0.0000 1.9863
B 0.0000 1.9863 0.0000
B 1.9863 0.0000 0.0000
W 1.9863 1.9863 1.9863
Se 0.0000 0.0000 0.0000
```

D(E_F) (states/eV/f.u.): 3.9
Calculated volume (Å³ per atom): 12.54

Stability order, top to bottom: <one>, <two>